No. 1
Density functional theory data (PBE) for a relaxed structure of ZrCo2Si.

Values from the calculation:
Magnetization ... 0.91 μB/f.u.
Calculated total energy ... -29.74 eV for the cell shown
E_form (uncorrected) ... -0.39 eV per atom
Symmetry ... P4mm

a = 4.0309 Å, b = 4.0309 Å, c = 3.3432 Å
α = 90.00°, β = 90.00°, γ = 90.00°
With the nearest neighbours (Å) after each atom.
Sites, in units of the cell vectors:
Zr1 0.0000 0.0000 0.0000  8 Co 2.62, 4 Si 2.85
Co1 0.0000 0.5000 0.4998  4 Si 2.61-2.62, 4 Zr 2.62, 4 Co 2.85
Co2 0.5000 0.0000 0.4998  4 Si 2.61-2.62, 4 Zr 2.62, 4 Co 2.85
Si1 0.5000 0.5000 0.9976  8 Co 2.61-2.62, 4 Zr 2.85



No. 2
Density functional theory data (PBE) for a relaxed structure of Zr3Co8Si.

Values from the calculation:
Magnetization ... 5.08 μB/f.u.
Calculated total energy ... -91.25 eV for the cell shown
E_form (uncorrected) ... -0.28 eV per atom
Symmetry ... R3m

a = 8.2938 Å, b = 8.2938 Å, c = 8.2938 Å
α = 34.10°, β = 34.10°, γ = 34.10°
With the nearest neighbours (Å) after each atom.
Sites, in units of the cell vectors:
Zr1 0.0000 0.0000 0.0000  12 Co 2.83-2.85, 4 Zr 3.01-3.07
Zr2 0.1287 0.1287 0.1287  12 Co 2.71-2.89, 3 Si 2.86, 1 Zr 3.01
Zr3 0.6132 0.6132 0.6132  9 Co 2.72-2.91, 1 Si 3.01
Co1 0.0602 0.0602 0.5624  6 Co 2.36-2.44
Co2 0.0602 0.5624 0.0602  6 Co 2.36-2.44
Co3 0.0618 0.5624 0.5624  6 Co 2.41-2.43, 1 Si 2.51
Co4 0.3122 0.3122 0.3122  6 Co 2.41-2.43
Co5 0.5624 0.0602 0.0602  6 Co 2.36-2.44
Co6 0.5624 0.0618 0.5624  6 Co 2.41-2.43, 1 Si 2.51
Co7 0.5624 0.5624 0.0618  6 Co 2.41-2.43, 1 Si 2.51
Co8 0.8128 0.8128 0.8128  6 Co 2.36-2.41
Si1 0.4845 0.4845 0.4845  6 Co 2.51-2.81



No. 3
Density functional theory data (PBE) for a relaxed structure of Zr3Co6Si5.

Values from the calculation:
Magnetization ... 0.00 μB/f.u.
Calculated total energy ... -212.02 eV for the cell shown
E_form (uncorrected) ... -0.76 eV per atom
Symmetry ... Pmmn

a = 3.7924 Å, b = 11.5973 Å, c = 8.5378 Å
α = 90.00°, β = 90.00°, γ = 90.00°
With the nearest neighbours (Å) after each atom.
Sites, in units of the cell vectors:
Zr1 0.2500 0.0577 0.2430  7 Co 2.62-2.88, 4 Si 2.74-2.83
Zr2 0.2500 0.4423 0.2430  7 Co 2.62-2.88, 4 Si 2.74-2.83
Zr3 0.2500 0.7500 0.2529  6 Si 2.75-2.79, 4 Co 2.94-3.06
Zr4 0.7500 0.2500 0.7471  6 Si 2.75-2.79, 4 Co 2.94-3.06
Zr5 0.7500 0.5577 0.7570  7 Co 2.62-2.88, 4 Si 2.74-2.83
Zr6 0.7500 0.9423 0.7570  7 Co 2.62-2.88, 4 Si 2.74-2.83
Co1 0.2500 0.0649 0.5867  4 Si 2.27-2.36
Co2 0.2500 0.2500 0.0287  4 Si 2.31-2.35
Co3 0.2500 0.2500 0.4033  6 Si 2.42-2.62, 2 Zr 2.62, 2 Co 2.66
Co4 0.2500 0.4351 0.5867  4 Si 2.27-2.36
Co5 0.2500 0.5886 0.9881  4 Si 2.30-2.42
Co6 0.2500 0.9114 0.9881  4 Si 2.30-2.42
Co7 0.7500 0.0886 0.0119  4 Si 2.30-2.42
Co8 0.7500 0.4114 0.0119  4 Si 2.30-2.42
Co9 0.7500 0.5649 0.4133  4 Si 2.27-2.36
Co10 0.7500 0.7500 0.5967  6 Si 2.42-2.62, 2 Zr 2.62, 2 Co 2.66
Co11 0.7500 0.7500 0.9713  4 Si 2.31-2.35
Co12 0.7500 0.9351 0.4133  4 Si 2.27-2.36
Si1 0.2500 0.0944 0.8601  5 Co 2.30-2.39
Si2 0.2500 0.4056 0.8601  5 Co 2.30-2.39
Si3 0.2500 0.6297 0.5310  5 Co 2.27-2.42
Si4 0.2500 0.7500 0.8081  6 Co 2.35-2.62
Si5 0.2500 0.8703 0.5310  5 Co 2.27-2.42
Si6 0.7500 0.1297 0.4690  5 Co 2.27-2.42
Si7 0.7500 0.2500 0.1919  6 Co 2.35-2.62
Si8 0.7500 0.3703 0.4690  5 Co 2.27-2.42
Si9 0.7500 0.5944 0.1399  5 Co 2.30-2.39
Si10 0.7500 0.9056 0.1399  5 Co 2.30-2.39



No. 4
Density functional theory data (PBE) for a relaxed structure of ZrCoSi2.

Values from the calculation:
Magnetization ... 0.00 μB/f.u.
Calculated total energy ... -54.00 eV for the cell shown
E_form (uncorrected) ... -0.13 eV per atom
Symmetry ... I-42d

a = 8.1303 Å, b = 8.1303 Å, c = 8.1303 Å
α = 149.29°, β = 149.29°, γ = 43.98°
With the nearest neighbours (Å) after each atom.
Sites, in units of the cell vectors:
Zr1 0.0000 0.0000 0.0000  4 Si 2.75, 4 Co 3.04
Zr2 0.7500 0.2500 0.5000  4 Si 2.75, 4 Co 3.04
Co1 0.2500 0.7500 0.5000  4 Si 2.22
Co2 0.5000 0.5000 0.0000  4 Si 2.22
Si1 0.2660 0.6250 0.1410  2 Co 2.22, 2 Si 2.35
Si2 0.3750 0.5160 0.6410  2 Co 2.22, 2 Si 2.35
Si3 0.4840 0.1250 0.8590  2 Co 2.22, 2 Si 2.35
Si4 0.8750 0.7340 0.3590  2 Co 2.22, 2 Si 2.35



No. 5
Density functional theory data (PBE) for a relaxed structure of ZrCoSi3.

Values from the calculation:
Magnetization ... 0.00 μB/f.u.
Calculated total energy ... -30.69 eV for the cell shown
E_form (uncorrected) ... 0.25 eV per atom
Symmetry ... Pm-3m

a = 4.3570 Å, b = 4.3570 Å, c = 4.3570 Å
α = 90.00°, β = 90.00°, γ = 90.00°
With the nearest neighbours (Å) after each atom.
Sites, in units of the cell vectors:
Zr1 0.0000 0.0000 0.0000  12 Si 3.08
Co1 0.5000 0.5000 0.5000  6 Si 2.18
Si1 0.0000 0.5000 0.5000  2 Co 2.18
Si2 0.5000 0.0000 0.5000  2 Co 2.18
Si3 0.5000 0.5000 0.0000  2 Co 2.18



No. 6
Density functional theory data (PBE) for a relaxed structure of ZrCoSi3.

Values from the calculation:
Magnetization ... 2.60 μB/f.u.
Calculated total energy ... -25.15 eV for the cell shown
E_form (uncorrected) ... 1.35 eV per atom
Symmetry ... Pm-3m

a = 5.0069 Å, b = 5.0069 Å, c = 5.0069 Å
α = 90.00°, β = 90.00°, γ = 90.00°
With the nearest neighbours (Å) after each atom.
Sites, in units of the cell vectors:
Zr1 0.0000 0.0000 0.0000  6 Si 2.50
Co1 0.5000 0.5000 0.5000  12 Si 3.54
Si1 0.0000 0.0000 0.5000  2 Zr 2.50
Si2 0.0000 0.5000 0.0000  2 Zr 2.50
Si3 0.5000 0.0000 0.0000  2 Zr 2.50